Record 1
HoMgGa2Cu2 | PBE-GGA | optimized geometry

Calculated values
* DFT formation energy: -0.382 eV/atom
* space group: P-3m1, No. 164

The structure in extended XYZ format:
```
6
Lattice="-2.6378 0.3659 -3.3062 3.6484 -2.1294 -0.4209 -3.1285 -5.7283 1.8620" Properties=species:S:1:pos:R:3 pbc="T T T"
Ga -2.8141 -4.6254 -0.9923
Cu -1.4701 -2.1645 -1.7923
Ho 0.0000 0.0000 0.0000
Mg -1.5642 -2.8641 0.9310
Cu -0.6478 -5.3273 -0.0728
Ga 0.6963 -2.8663 -0.8728
```


Record 2
RbNpPa2O8 | PBE-GGA | optimized geometry

Calculated values
* formation energy (no corrections): -3557 kJ/mol of formula units
* space group: P2/m, No. 10

The structure in extended XYZ format:
```
12
Lattice="-0.4484 -1.0918 5.1888 5.2288 0.5300 0.8065 -0.9238 6.9975 1.3928" Properties=species:S:1:pos:R:3 pbc="T T T"
Np 0.0000 0.0000 0.0000
O 1.1664 3.3058 2.7465
Pa 1.6958 4.9786 4.0445
O 3.2673 -0.3835 4.0954
O 0.5387 0.6320 4.5639
O -0.0180 4.8499 5.4037
O 3.8746 1.5858 1.9843
Pa 2.1607 1.4571 3.3436
O 0.5892 6.8192 3.2926
O 2.6902 3.1299 4.6416
Rb -0.4619 3.4987 0.6964
O 3.3179 5.8036 2.8242
```


Record 3
Ce3Si4Tc2 | PBE-GGA | optimized geometry

Calculated values
* formation energy (no corrections): -549 kJ/mol of formula units
* space group: C2/m, No. 12

The structure in extended XYZ format:
```
9
Lattice="-0.0045 -3.6572 -2.1360 4.3653 0.2113 3.8278 -6.6715 -2.4301 4.1747" Properties=species:S:1:pos:R:3 pbc="T T T"
Ce 0.0000 0.0000 0.0000
Ce -3.5896 -3.9043 2.4935
Si -0.4860 -4.5629 3.6144
Tc -1.5823 -2.5718 4.4065
Tc -0.7285 -3.3042 1.4599
Si -3.7162 -3.1659 5.4282
Ce 1.2788 -1.9716 3.3730
Si 1.4054 -2.7101 0.4382
Si -1.8248 -1.3131 2.2520
```


Record 4
Ho6InSe3S2 | PBE-GGA | optimized geometry

Calculated values
* formation energy (no corrections): -1797 kJ/mol of formula units
* space group: C2/m, No. 12

The structure in extended XYZ format:
```
12
Lattice="-1.9374 -2.2222 -2.6424 3.4563 -6.8437 3.2213 -6.5474 2.1293 5.9756" Properties=species:S:1:pos:R:3 pbc="T T T"
Ho 0.8180 -1.7916 0.9069
S -3.6446 -4.9686 3.8848
Se 0.3817 -5.3419 4.2125
Ho -3.4573 -2.2641 4.4389
S -1.3838 -1.9681 2.6697
Se 0.7595 -4.5329 0.2894
In -0.9687 -1.1111 -1.3212
Ho -3.1735 -1.4585 0.5874
Ho -1.8550 -5.4782 5.9670
Ho -5.8465 -5.1450 5.6475
Ho -1.5712 -4.6725 2.1156
Se -5.4102 -1.5948 2.3420
```


Record 5
CeZnCd3 | PBE-GGA | optimized geometry

Calculated values
* offset from the most stable computed form: 87 meV/atom
* DFT formation energy: -0.063 eV/atom
* space group: P2_1/m, No. 11

The structure in extended XYZ format:
```
10
Lattice="-4.5750 -0.0571 -0.7575 -0.9733 -0.7407 5.9343 2.0275 8.4812 1.3912" Properties=species:S:1:pos:R:3 pbc="T T T"
Cd -2.0778 6.0089 5.0491
Cd 0.4392 7.1996 3.9765
Cd 0.8984 7.5490 1.1771
Cd -1.4430 1.6746 1.5190
Ce -1.5535 5.2357 1.9453
Zn -3.7768 3.1600 1.3216
Cd -4.4192 0.1344 5.3909
Zn 0.2560 4.5235 5.2464
Cd -3.9600 0.4838 2.5915
Ce -1.9673 2.4478 4.6227
```


Record 6
MnNi2HRu | PBE-GGA | optimized geometry

Calculated values
* offset from the most stable computed form: 53 meV/atom
* space group: P4/mmm, No. 123

The structure in extended XYZ format:
```
5
Lattice="-1.4504 3.2551 0.5510 -1.0532 0.1142 -3.4468 -3.3427 -1.6531 0.9665" Properties=species:S:1:pos:R:3 pbc="T T T"
Mn -1.6713 -0.8265 0.4833
Ru -2.9231 0.8581 -0.9646
Ni -0.5266 0.0571 -1.7234
H 0.0000 0.0000 0.0000
Ni -0.7252 1.6275 0.2755
```


Record 7
HfTlRe2Sn | PBE-GGA | optimized geometry

Calculated values
* DFT formation energy: 2.342 eV/atom
* space group: P4/mmm, No. 123

The structure in extended XYZ format:
```
5
Lattice="-2.0740 -0.1632 -4.5259 4.0077 -2.7408 -1.7376 -2.3505 -4.2162 1.2291" Properties=species:S:1:pos:R:3 pbc="T T T"
Tl 0.0000 0.0000 0.0000
Re -1.1752 -2.1081 0.6146
Hf 2.0038 -1.3704 -0.8688
Re -1.0370 -0.0816 -2.2630
Sn -0.2084 -3.5601 -2.5172
```


Record 8
PdRu3 | PBE-GGA | optimized geometry

Calculated values
* DFT formation energy: 0.224 eV/atom
* space group: I4/mmm, No. 139

The structure in extended XYZ format:
```
4
Lattice="-1.9249 1.8968 -2.7059 -1.6491 -3.2651 -1.1156 -1.1249 1.2997 4.4138" Properties=species:S:1:pos:R:3 pbc="T T T"
Pd 0.0000 0.0000 0.0000
Ru -2.2805 -1.3248 0.6937
Ru -1.7870 -0.6841 -1.9107
Ru -2.4184 1.2562 -0.1014
```


Record 9
Ca3Ge2SbPd9 | PBE-GGA | optimized geometry

Calculated values
* formation energy (no corrections): -719 kJ/mol of formula units
* space group: P-3m1, No. 164

The structure in extended XYZ format:
```
15
Lattice="-2.6197 5.8951 -1.0488 -3.8745 -5.2009 0.8083 -0.1689 1.5140 8.9322" Properties=species:S:1:pos:R:3 pbc="T T T"
Pd -3.7424 -3.2178 2.9649
Ca -3.0855 2.6225 2.0840
Pd -1.9373 -2.6005 0.4041
Ca -3.5776 -0.4143 6.6077
Pd -5.1475 2.4369 6.1914
Pd -3.2471 0.3471 -0.1202
Pd -1.5157 -0.2287 2.5004
Pd -1.3099 2.9475 -0.5244
Pd -2.9208 5.4260 5.7268
Pd -5.2480 0.1702 2.3621
Pd -1.4152 2.0380 6.3296
Sb -0.0845 0.7570 4.4661
Ca 0.0000 0.0000 0.0000
Ge -3.4854 -1.2412 1.7297
Ge -3.1778 3.4493 6.9620
```


Record 10
TbHo3H8 | PBE-GGA | optimized geometry

Calculated values
* space group: Pm-3m, No. 221
* total energy: -53.82 eV for the cell shown

The structure in extended XYZ format:
```
12
Lattice="5.1597 0.0000 0.0000 0.0000 5.1597 0.0000 0.0000 0.0000 5.1597" Properties=species:S:1:pos:R:3 pbc="T T T"
H 1.3008 3.8589 3.8589
Tb 0.0000 0.0000 0.0000
H 3.8589 1.3008 3.8589
H 3.8589 3.8589 3.8589
H 1.3008 3.8589 1.3008
H 1.3008 1.3008 3.8589
Ho 2.5798 2.5798 0.0000
Ho 0.0000 2.5798 2.5798
Ho 2.5798 0.0000 2.5798
H 1.3008 1.3008 1.3008
H 3.8589 3.8589 1.3008
H 3.8589 1.3008 1.3008
```


Record 11
Ni2OsAu | PBE-GGA | optimized geometry

Calculated values
* offset from the most stable computed form: 442 meV/atom
* DFT formation energy: 0.576 eV/atom
* space group: F-43m, No. 216

The structure in extended XYZ format:
```
4
Lattice="-2.6071 0.0398 3.3960 -3.8070 -1.9489 -0.2008 -0.6824 -3.5985 2.2173" Properties=species:S:1:pos:R:3 pbc="T T T"
Au -3.5483 -2.7538 2.7062
Os -5.3224 -4.1306 4.0594
Ni 0.0000 0.0000 0.0000
Ni -1.7741 -1.3769 1.3531
```


Record 12
BeZn2CrN | PBE-GGA | optimized geometry

Calculated values
* formation energy (no corrections): 197 kJ/mol of formula units
* space group: P4/mmm, No. 123

The structure in extended XYZ format:
```
5
Lattice="4.1230 0.0000 0.0000 0.0000 3.7406 0.0000 0.0000 0.0000 4.1230" Properties=species:S:1:pos:R:3 pbc="T T T"
Zn 0.0000 0.0000 2.0615
Zn 2.0615 0.0000 0.0000
Be 2.0615 1.8703 2.0615
Cr 0.0000 1.8703 0.0000
N 0.0000 0.0000 0.0000
```


Record 13
PtI2O2 | PBE-GGA | optimized geometry

Calculated values
* offset from the most stable computed form: 0 meV/atom
* formation energy (no corrections): 137 kJ/mol of formula units
* space group: P4/mmm, No. 123

The structure in extended XYZ format:
```
5
Lattice="-3.3151 2.1752 0.2982 -2.1545 -3.1191 -1.1999 -0.8524 -2.3446 7.6256" Properties=species:S:1:pos:R:3 pbc="T T T"
I -0.4262 -1.1723 3.8128
O -1.0773 -1.5596 -0.5999
Pt -3.1610 -1.6443 3.3620
I 0.0000 0.0000 0.0000
O -1.6576 1.0876 0.1491
```


Record 14
Sr2Al3ZnAg4 | PBE-GGA | optimized geometry

Calculated values
* DFT formation energy: -0.230 eV/atom
* space group: P-4m2, No. 115

The structure in extended XYZ format:
```
10
Lattice="4.4737 0.0000 0.0000 0.0000 4.4737 0.0000 0.0000 0.0000 11.2071" Properties=species:S:1:pos:R:3 pbc="T T T"
Sr 2.2368 0.0000 2.8117
Al 0.0000 2.2368 1.4332
Zn 2.2368 2.2368 5.6035
Al 2.2368 0.0000 9.7739
Al 0.0000 0.0000 5.6035
Ag 0.0000 0.0000 0.0000
Ag 2.2368 2.2368 0.0000
Sr 0.0000 2.2368 8.3953
Ag 0.0000 2.2368 4.0861
Ag 2.2368 0.0000 7.1209
```


Record 15
RbNpTlSe3 | PBE-GGA | optimized geometry

Calculated values
* formation energy (no corrections): -580 kJ/mol of formula units
* space group: P2_1/m, No. 11

The structure in extended XYZ format:
```
12
Lattice="-3.4854 1.7078 1.8052 1.0814 -6.8490 8.5675 4.8241 6.2310 3.4194" Properties=species:S:1:pos:R:3 pbc="T T T"
Np 2.1704 4.6679 7.3872
Se 2.9005 1.8610 11.4523
Np 0.2497 -3.5782 6.4048
Rb 0.9554 0.3305 9.1447
Se 1.7182 -2.8972 8.5959
Se -0.4804 -0.7713 2.3397
Rb 1.4647 0.7592 4.6473
Tl 2.7712 5.0000 3.1580
Se 3.5584 2.1137 7.4083
Se 0.7019 3.9869 5.1962
Tl -0.3512 -3.9103 10.6340
Se -1.1383 -1.0240 6.3837
```


no.,ρ (g cm⁻³),total magnetization (μB/f.u.)
1,7.1,0.00
2,7.5,2.00
3,6.7,0.96
4,8.2,0.00
5,7.5,1.09
6,9.1,2.80
7,11.3,1.53
8,12.0,0.00
9,6.7,0.00
10,8.0,0.00
11,15.1,1.29
12,5.4,2.06
13,6.3,0.00
14,5.6,0.00
15,6.3,3.00